Density functional theory data (PBE) for an optimized crystal structure of PrPuPtAu.

Computed properties:
energy of formation	-0.69	eV per atom
VASP energy	-31.2	eV/cell
space group	F-43m
excess energy over the best structure of this formula in the dataset	58	meV per atom

Structure (POSCAR):
```
PrPuPtAu
1.0
5.139 0.000 0.000
2.570 4.451 0.000
2.570 1.484 4.196
Pu Pr Pt Au
1 1 1 1
Cartesian
0.000 0.000 0.000 Pu
5.139 2.967 2.098 Pr
2.570 1.484 1.049 Pt
7.709 4.451 3.147 Au
```